The following is a GGA-PBE calculation of a relaxed structure of Mn2AsP, from Alexandria.

Cell lengths 5.9648, 5.9648, 5.9648 Å; angles 90.00, 90.00, 90.00 degrees
Last column: nearest neighbours and their distance in Å.
Space group F-43m (No. 216)
Unique sites:
Mn1 0.0000 0.0000 0.0000 (multiplicity 4)  4 As 2.58, 4 Mn 2.58
Mn2 0.2500 0.2500 0.2500 (multiplicity 4)  4 Mn 2.58, 4 P 2.58
As1 0.2500 0.2500 0.7500 (multiplicity 4)  4 Mn 2.58, 4 P 2.58
P1 0.0000 0.0000 0.5000 (multiplicity 4)  4 As 2.58, 4 Mn 2.58

Results
The density of states at the Fermi level is 0.571 states/eV/atom. As for the formation energy: 0.32 eV/atom.

=====

The following is a GGA-PBE calculation of a relaxed structure of TiV2N, from Alexandria.

Cell lengths 3.0341, 3.0341, 10.2695 Å; angles 90.00, 90.00, 90.00 degrees
Last column: nearest neighbours and their distance in Å.
Space group P4/nmm (No. 129, origin choice 2)
Unique sites:
Ti1 0.2500 0.2500 0.0980 (multiplicity 2)  5 N 2.07-2.15
V1 0.2500 0.2500 0.4268 (multiplicity 2)  8 V 2.55-2.62
V2 0.2500 0.2500 0.7067 (multiplicity 2)  1 N 1.95
N1 0.2500 0.2500 0.8967 (multiplicity 2)  1 V 1.95, 5 Ti 2.07-2.15

Results
The density of states at the Fermi level is 0.799 states/eV/atom. Its energy relative to the lowest polymorph listed for this composition is 0.00 eV/f.u.

=====

The following is a GGA-PBE calculation of a relaxed structure of ErZr2TiN4, from Alexandria.

Cell lengths 5.6199, 3.2370, 5.6224 Å; angles 90.00, 109.26, 90.00 degrees
Last column: nearest neighbours and their distance in Å.
Space group P2/m (No. 10)
Unique sites:
Er1 0.0000 0.0000 0.0000 (multiplicity 1)  6 N 2.32-2.33
Zr1 0.5000 0.0000 0.5000 (multiplicity 1)  6 N 2.26
Zr2 0.5000 0.5000 0.0000 (multiplicity 1)  6 N 2.33-2.34
Ti1 0.0000 0.5000 0.5000 (multiplicity 1)  6 N 2.25
N1 0.2438 0.0000 0.7370 (multiplicity 2)  2 Ti 2.25, 3 Zr 2.26-2.34, 1 Er 2.32
N2 0.2533 0.5000 0.2618 (multiplicity 2)  1 Ti 2.25, 3 Zr 2.26-2.33, 2 Er 2.33

Results
The density of states at the Fermi level is 0.235 states/eV/atom. As for the total energy: -9.51 eV per atom.

=====

The following is a GGA-PBE calculation of a relaxed structure of MgBrO2, from Alexandria.

Cell lengths 3.7765, 3.7765, 4.5000 Å; angles 90.00, 90.00, 120.00 degrees
Last column: nearest neighbours and their distance in Å.
Space group P-6m2 (No. 187)
Unique sites:
Mg1 0.0000 0.0000 0.0000 (multiplicity 1)  5 O 2.18-2.25
Br1 0.6667 0.3333 0.5000 (multiplicity 1)  3 O 2.18
O1 0.0000 0.0000 0.5000 (multiplicity 1)  3 Br 2.18, 2 Mg 2.25
O2 0.3333 0.6667 0.0000 (multiplicity 1)  3 Mg 2.18

Results
The density of states at the Fermi level is 0.700 states/eV/atom. Its energy relative to the lowest polymorph listed for this composition is 2.57 eV/f.u.

=====

The following is a GGA-PBE calculation of a relaxed structure of GdScSn2, from Alexandria.

Cell lengths 4.7486, 4.7486, 4.4196 Å; angles 90.00, 90.00, 90.00 degrees
Last column: nearest neighbours and their distance in Å.
Space group P4/mmm (No. 123)
Unique sites:
Gd1 0.0000 0.0000 0.0000 (multiplicity 1)  8 Sn 3.24, 4 Sc 3.36
Sc1 0.5000 0.5000 0.0000 (multiplicity 1)  8 Sn 3.24, 4 Gd 3.36
Sn1 0.0000 0.5000 0.5000 (multiplicity 2)  4 Gd 3.24, 4 Sc 3.24, 4 Sn 3.36

Results
The density of states at the Fermi level is 0.750 states/eV/atom. As for the formation energy: -0.60 eV/atom. Its energy relative to the lowest polymorph listed for this composition is 0.00 eV/f.u.

=====

The following is a GGA-PBE calculation of a relaxed structure of TlHg2PdSe, from Alexandria.

Cell lengths 5.2923, 5.2923, 5.1048 Å; angles 90.00, 90.00, 90.00 degrees
Last column: nearest neighbours and their distance in Å.
Space group P4/mmm (No. 123)
Unique sites:
Tl1 0.0000 0.0000 0.0000 (multiplicity 1)  8 Hg 3.68, 4 Se 3.74
Hg1 0.0000 0.5000 0.5000 (multiplicity 2)  2 Pd 2.65
Pd1 0.5000 0.5000 0.5000 (multiplicity 1)  2 Se 2.55, 4 Hg 2.65
Se1 0.5000 0.5000 0.0000 (multiplicity 1)  2 Pd 2.55

Results
The density of states at the Fermi level is 0.571 states/eV/atom. As for the total energy: -2.39 eV per atom.

=====

The following is a GGA-PBE calculation of a relaxed structure of LuMnNbOs, from Alexandria.

Cell lengths 6.4348, 6.4348, 6.4348 Å; angles 90.00, 90.00, 90.00 degrees
Last column: nearest neighbours and their distance in Å.
Space group F-43m (No. 216)
Unique sites:
Lu1 0.0000 0.0000 0.0000 (multiplicity 4)  4 Os 2.79, 4 Mn 2.79
Mn1 0.2500 0.2500 0.7500 (multiplicity 4)  4 Nb 2.79, 4 Lu 2.79
Nb1 0.0000 0.0000 0.5000 (multiplicity 4)  4 Mn 2.79, 4 Os 2.79
Os1 0.2500 0.2500 0.2500 (multiplicity 4)  4 Nb 2.79, 4 Lu 2.79

Results
The density of states at the Fermi level is 0.888 states/eV/atom. As for the formation energy: -0.09 eV/atom.

=====

The following is a GGA-PBE calculation of a relaxed structure of RbTl3Ga, from Alexandria.

Cell lengths 15.4825, 11.4055, 7.6532 Å; angles 90.00, 103.09, 90.00 degrees
Last column: nearest neighbours and their distance in Å.
Space group C2/c (No. 15)
Unique sites:
Rb1 0.0000 0.0187 0.2500 (multiplicity 4)  8 Tl 3.75-4.05, 2 Rb 3.85, 2 Ga 3.86
Rb2 0.0000 0.3538 0.7500 (multiplicity 4)  8 Tl 3.77-4.03, 6 Ga 3.80-4.18
Tl1 0.1767 0.1717 0.5905 (multiplicity 8)  1 Ga 3.10, 3 Tl 3.32-3.42
Tl2 0.1865 0.1689 0.0929 (multiplicity 8)  1 Ga 2.95, 2 Tl 3.25-3.30
Tl3 0.1878 0.4932 0.5849 (multiplicity 8)  2 Ga 3.04-3.09, 3 Tl 3.30-3.33
Ga1 0.0900 0.3352 0.2755 (multiplicity 8)  1 Ga 2.72, 2 Tl 2.95-3.04

Results
The density of states at the Fermi level is 0.472 states/eV/atom. As for the formation energy: -0.03 eV/atom. Its energy relative to the lowest polymorph listed for this composition is 0.00 eV/f.u.

=====

The following is a GGA-PBE calculation of a relaxed structure of YPb2, from Alexandria.

Cell lengths 6.5920, 4.7295, 11.1106 Å; angles 90.00, 90.00, 90.00 degrees
Last column: nearest neighbours and their distance in Å.
Space group Pnma (No. 62)
Unique sites:
Y1 0.1428 0.2500 0.1141 (multiplicity 4)  9 Pb 3.23-3.56
Pb1 0.1325 0.2500 0.7741 (multiplicity 4)  4 Y 3.23-3.31, 4 Pb 3.32-3.34
Pb2 0.1401 0.2500 0.4348 (multiplicity 4)  4 Pb 3.32-3.33, 5 Y 3.32-3.56

Results
The density of states at the Fermi level is 0.409 states/eV/atom. As for the formation energy: -0.38 eV/atom.

=====

The following is a GGA-PBE calculation of a relaxed structure of Pm2AlAg5, from Alexandria.

Cell lengths 6.3508, 6.3508, 4.8664 Å; angles 90.00, 90.00, 90.00 degrees
Last column: nearest neighbours and their distance in Å.
Space group P4/mmm (No. 123)
Unique sites:
Pm1 0.0000 0.5000 0.0000 (multiplicity 2)  10 Ag 3.18-3.32
Al1 0.0000 0.0000 0.5000 (multiplicity 1)  6 Ag 2.43-2.55
Ag1 0.0000 0.0000 0.0000 (multiplicity 1)  2 Al 2.43
Ag2 0.2835 0.2835 0.5000 (multiplicity 4)  1 Al 2.55, 2 Ag 2.75

Results
The density of states at the Fermi level is 0.864 states/eV/atom. As for the formation energy: 0.00 eV/atom.

=====

The following is a GGA-PBE calculation of a relaxed structure of Nd3Dy2Mg, from Alexandria.

Cell lengths 17.5028, 7.0747, 6.2315 Å; angles 90.00, 90.76, 90.00 degrees
Last column: nearest neighbours and their distance in Å.
Space group C2/c (No. 15)
Unique sites:
Nd1 0.0000 0.1315 0.2500 (multiplicity 4)  4 Mg 3.53-3.54, 4 Dy 3.57-3.59, 4 Nd 3.57-3.63
Nd2 0.1673 0.3751 0.0802 (multiplicity 8)  6 Dy 3.53-3.62, 4 Nd 3.55-3.58, 2 Mg 3.56-3.62
Dy1 0.1665 0.1236 0.5869 (multiplicity 8)  8 Nd 3.53-3.62, 1 Mg 3.55, 3 Dy 3.57-3.61
Mg1 0.0000 0.3677 0.7500 (multiplicity 4)  8 Nd 3.53-3.62, 2 Dy 3.55, 2 Mg 3.63

Results
The density of states at the Fermi level is 1.307 states/eV/atom. As for the formation energy: 0.02 eV/atom. Its energy relative to the lowest polymorph listed for this composition is 0.21 eV/f.u.

=====

The following is a GGA-PBE calculation of a relaxed structure of Th2As3Rh5, from Alexandria.

Cell lengths 4.2325, 25.0488, 6.9519 Å; angles 90.00, 90.00, 90.00 degrees
Last column: nearest neighbours and their distance in Å.
Space group Cmc2_1 (No. 36)
Unique sites:
Th1 0.0000 0.0172 0.0000 (multiplicity 4)  3 Rh 2.90-2.95, 3 As 2.92-3.00
Th2 0.0000 0.3248 0.0196 (multiplicity 4)  10 Rh 2.99-3.33, 4 As 3.11-3.30
As1 0.0000 0.1127 0.7591 (multiplicity 4)  6 Rh 2.46-2.69
As2 0.0000 0.2752 0.5669 (multiplicity 4)  7 Rh 2.49-2.63
As3 0.0000 0.4411 0.7675 (multiplicity 4)  4 Rh 2.48-2.72
Rh1 0.0000 0.0952 0.4011 (multiplicity 4)  3 As 2.48-2.53
Rh2 0.0000 0.2073 0.8554 (multiplicity 4)  4 As 2.46-2.63
Rh3 0.0000 0.2209 0.2634 (multiplicity 4)  3 As 2.51-2.52
Rh4 0.0000 0.3707 0.4691 (multiplicity 4)  4 As 2.49-2.72
Rh5 0.0000 0.4471 0.1558 (multiplicity 4)  4 As 2.69-2.91, 3 Rh 2.90-2.96, 2 Th 2.95

Results
The density of states at the Fermi level is 0.590 states/eV/atom. As for the formation energy: -0.80 eV/atom.